No. 1
The following is a DFT calculation (PBE) of a relaxed Nd15Er2Tl2 crystal.

Structure (POSCAR):
```
Nd15Er2Tl2
1.0
-4.012 -1.413 7.703
5.294 -5.916 3.796
4.722 4.990 5.498
Nd Er Tl
15 2 2
direct
0.000 0.500 0.000 Nd
0.000 0.000 0.500 Nd
0.500 0.000 0.000 Nd
0.290 0.000 0.710 Nd
0.710 0.290 0.000 Nd
0.000 0.710 0.290 Nd
0.290 0.710 0.000 Nd
0.000 0.290 0.710 Nd
0.710 0.000 0.290 Nd
0.391 0.834 0.391 Nd
0.391 0.391 0.834 Nd
0.834 0.391 0.391 Nd
0.609 0.166 0.609 Nd
0.609 0.609 0.166 Nd
0.166 0.609 0.609 Nd
0.696 0.696 0.696 Er
0.304 0.304 0.304 Er
0.899 0.899 0.899 Tl
0.101 0.101 0.101 Tl
```

Properties
ΔH_f (0 K) = 0.17 eV per atom

No. 2
The following is a DFT calculation (PBE) of a relaxed Y3Pa4N8 crystal.

Structure (POSCAR):
```
Y3Pa4N8
1.0
-3.341 -5.288 3.152
5.918 2.446 2.713
-2.786 6.372 0.071
Y Pa N
3 4 8
direct
0.500 0.500 0.000 Y
0.500 0.000 0.500 Y
0.500 0.500 0.500 Y
0.500 0.000 0.000 Pa
0.000 0.500 0.000 Pa
0.000 0.000 0.000 Pa
0.000 0.000 0.500 Pa
0.460 0.215 0.215 N
0.000 0.766 0.234 N
0.994 0.233 0.233 N
0.500 0.751 0.249 N
0.500 0.249 0.751 N
0.006 0.767 0.767 N
0.000 0.234 0.766 N
0.540 0.785 0.785 N
```

Properties
uncorrected formation energy = -22.5 eV per formula unit

No. 3
The following is a DFT calculation (PBE) of a relaxed Mn4Co3Ni2 crystal.

Structure (POSCAR):
```
Mn4Co3Ni2
1.0
-3.214 -1.218 -2.193
-3.072 -1.980 1.810
-3.444 6.603 1.380
Mn Co Ni
4 3 2
direct
0.667 0.667 0.889 Mn
0.000 0.000 0.329 Mn
0.000 0.000 0.671 Mn
0.333 0.333 0.111 Mn
0.333 0.333 0.448 Co
0.000 0.000 0.000 Co
0.667 0.667 0.552 Co
0.333 0.334 0.778 Ni
0.667 0.666 0.222 Ni
```

Properties
ΔH_f (0 K) = 0.04 eV per atom

No. 4
The following is a DFT calculation (PBE) of a relaxed TiMn crystal.

Structure (POSCAR):
```
TiMn
1.0
-1.209 1.809 -1.664
-3.614 -2.574 -0.172
-1.843 2.330 3.871
Ti Mn
2 2
direct
0.000 0.500 0.500 Ti
0.500 0.000 0.000 Ti
0.500 0.000 0.500 Mn
0.000 0.500 0.000 Mn
```

Properties
ΔH_f (0 K) = 0.27 eV per atom

No. 5
The following is a DFT calculation (PBE) of a relaxed Tb3CeTm5 crystal.

Structure (POSCAR):
```
Tb3CeTm5
1.0
8.594 0.000 0.000
0.000 8.594 0.000
-4.297 -4.297 7.544
Tb Ce Tm
6 2 10
direct
0.619 0.119 0.000 Tb
0.381 0.881 0.000 Tb
0.881 0.619 0.000 Tb
0.119 0.381 0.000 Tb
0.250 0.250 0.500 Tb
0.750 0.750 0.500 Tb
0.750 0.250 0.500 Ce
0.250 0.750 0.500 Ce
0.064 0.564 0.725 Tm
0.661 0.161 0.725 Tm
0.161 0.064 0.725 Tm
0.564 0.661 0.725 Tm
0.936 0.436 0.275 Tm
0.339 0.839 0.275 Tm
0.839 0.936 0.275 Tm
0.436 0.339 0.275 Tm
0.500 0.500 0.000 Tm
0.000 0.000 0.000 Tm
```

Properties
ΔH_f (0 K) = 0.29 eV per atom

No. 6
The following is a DFT calculation (PBE) of a relaxed HgP2 crystal.

Structure (POSCAR):
```
HgP2
1.0
4.060 0.000 0.000
0.000 5.133 0.000
0.000 0.000 6.515
Hg P
2 4
direct
0.000 0.000 0.000 Hg
0.500 0.500 0.500 Hg
0.000 0.156 0.597 P
0.000 0.844 0.403 P
0.500 0.656 0.903 P
0.500 0.344 0.097 P
```

Properties
ΔH_f (0 K) = 0.32 eV per atom

no.,DFT total energy (hartree per atom),DOS(E_F) (states/eV per atom),M_tot (μB/f.u.)
1,-0.159,1.1757,0.000
2,-0.359,0.7018,0.000
3,-0.283,0.7910,20.124
4,-0.304,0.9244,1.498
5,-0.162,1.5354,0.981
6,-0.125,0.3305,0.000